Arrangement A

## HPtCl (PBE)

Data for crystalline HPtCl at its relaxed geometry.

Unit cell a=8.5851 b=3.6198 c=6.1490 alpha=90.00 beta=90.00 gamma=90.00
Positions (direct):
1 H 0.0302 0.2500 0.2316
2 H 0.4698 0.7500 0.7316
3 H 0.5302 0.2500 0.2684
4 H 0.9698 0.7500 0.7684
5 Pt 0.1034 0.2500 0.4602
6 Pt 0.3966 0.7500 0.9602
7 Pt 0.6034 0.2500 0.0398
8 Pt 0.8966 0.7500 0.5398
9 Cl 0.2120 0.2500 0.8606
10 Cl 0.2880 0.7500 0.3606
11 Cl 0.7120 0.2500 0.6394
12 Cl 0.7880 0.7500 0.1394



Arrangement B

## HPtCl (PBE)

Data for crystalline HPtCl at its relaxed geometry.

Unit cell a=5.4314 b=7.0099 c=5.3336 alpha=90.00 beta=90.00 gamma=90.00
Positions (direct):
1 H 0.0000 0.2500 0.0429
2 H 0.0000 0.7500 0.9571
3 H 0.5000 0.2500 0.4571
4 H 0.5000 0.7500 0.5429
5 Pt 0.2500 0.2500 0.2500
6 Pt 0.2500 0.7500 0.7500
7 Pt 0.7500 0.2500 0.2500
8 Pt 0.7500 0.7500 0.7500
9 Cl 0.0000 0.0000 0.5000
10 Cl 0.0000 0.5000 0.5000
11 Cl 0.5000 0.0000 0.0000
12 Cl 0.5000 0.5000 0.0000



Arrangement C

## HPtCl (PBE)

Data for crystalline HPtCl at its relaxed geometry.

Unit cell a=5.5355 b=6.1793 c=8.6351 alpha=95.34 beta=101.56 gamma=94.15
Positions (direct):
1 H 0.0421 0.0992 0.3161
2 H 0.3694 0.4078 0.0685
3 H 0.4003 0.3148 0.3157
4 H 0.5997 0.6852 0.6843
5 H 0.6306 0.5922 0.9315
6 H 0.9579 0.9008 0.6839
7 Pt 0.0000 0.0000 0.5000
8 Pt 0.1573 0.2202 0.1698
9 Pt 0.3672 0.3141 0.8822
10 Pt 0.5000 0.5000 0.5000
11 Pt 0.6328 0.6859 0.1178
12 Pt 0.8427 0.7798 0.8302
13 Cl 0.0110 0.4609 0.7505
14 Cl 0.2633 0.8806 0.0521
15 Cl 0.3865 0.1856 0.6066
16 Cl 0.6135 0.8144 0.3934
17 Cl 0.7367 0.1194 0.9479
18 Cl 0.9890 0.5391 0.2495



Least stable: arrangement B



Arrangement A

## HPtCl3 (PBE)

Data for crystalline HPtCl3 at its relaxed geometry.

Unit cell a=4.8406 b=4.8406 c=4.8406 alpha=90.00 beta=90.00 gamma=90.00
Positions (direct):
1 H 0.0000 0.0000 0.0000
2 Pt 0.5000 0.5000 0.5000
3 Cl 0.0000 0.5000 0.5000
4 Cl 0.5000 0.0000 0.5000
5 Cl 0.5000 0.5000 0.0000



Arrangement B

## HPtCl3 (PBE)

Data for crystalline HPtCl3 at its relaxed geometry.

Unit cell a=4.3394 b=4.3394 c=4.3394 alpha=90.00 beta=90.00 gamma=90.00
Positions (direct):
1 H 0.0000 0.0000 0.0000
2 Pt 0.5000 0.5000 0.5000
3 Cl 0.0000 0.0000 0.5000
4 Cl 0.0000 0.5000 0.0000
5 Cl 0.5000 0.0000 0.0000



Least stable: arrangement B